{
  "formula": "ReNiN2",
  "functional": "PBE",
  "state": "optimized geometry",
  "final_energy_ev_per_atom": -8.4816,
  "formation_energy_uncorrected_kj_per_mol_atoms": 23.01,
  "total_magnetization_mub_per_cell": 0.016,
  "space_group": "Cmcm, No. 63",
  "lattice": [[1.3908, -2.5498, 0.0000], [1.3908, 2.5498, 0.0000], [0.0000, 0.0000, 11.0114]],
  "species": ["Re", "Re", "Ni", "Ni", "N", "N", "N", "N"],
  "fractional_positions": [[0.1458, 0.8542, 0.7500], [0.8542, 0.1458, 0.2500], [0.0000, 0.0000, 0.0000], [0.0000, 0.0000, 0.5000], [0.4686, 0.5314, 0.6340], [0.4686, 0.5314, 0.8660], [0.5314, 0.4686, 0.1340], [0.5314, 0.4686, 0.3660]]
}

{
  "formula": "Sr4TcSb",
  "functional": "PBE",
  "state": "optimized geometry",
  "final_energy_ev_per_atom": -2.6843,
  "formation_energy_uncorrected_kj_per_mol_atoms": 82.17,
  "total_magnetization_mub_per_cell": 2.133,
  "space_group": "F-43m, No. 216",
  "lattice": [[0.0000, 4.7933, 4.7933], [4.7933, 0.0000, 4.7933], [4.7933, 4.7933, 0.0000]],
  "species": ["Sr", "Sr", "Sr", "Sr", "Tc", "Sb"],
  "fractional_positions": [[0.1254, 0.1254, 0.1254], [0.1254, 0.1254, 0.6238], [0.1254, 0.6238, 0.1254], [0.6238, 0.1254, 0.1254], [0.5000, 0.5000, 0.5000], [0.7500, 0.7500, 0.7500]]
}

{
  "formula": "Ca2LaBiIr",
  "functional": "PBE",
  "state": "optimized geometry",
  "final_energy_ev_per_atom": -4.9155,
  "e_form_ev_per_atom": -0.5810,
  "total_magnetization_mub_per_cell": 0.000,
  "space_group": "P4/mmm, No. 123",
  "lattice": [[5.4943, 0.0000, 0.0000], [0.0000, 5.4943, 0.0000], [0.0000, 0.0000, 5.4316]],
  "species": ["Ca", "Ca", "La", "Bi", "Ir"],
  "fractional_positions": [[0.0000, 0.5000, 0.0000], [0.5000, 0.0000, 0.0000], [0.0000, 0.0000, 0.5000], [0.5000, 0.5000, 0.5000], [0.0000, 0.0000, 0.0000]]
}

{
  "formula": "MgIr4Ru",
  "functional": "PBE",
  "state": "optimized geometry",
  "final_energy_ev_per_atom": -7.4223,
  "e_form_ev_per_atom": 0.2968,
  "total_magnetization_mub_per_cell": 2.870,
  "space_group": "F-43m, No. 216",
  "lattice": [[0.0000, 3.6556, 3.6556], [3.6556, 0.0000, 3.6556], [3.6556, 3.6556, 0.0000]],
  "species": ["Mg", "Ir", "Ir", "Ir", "Ir", "Ru"],
  "fractional_positions": [[0.0000, 0.0000, 0.0000], [0.1247, 0.6251, 0.6251], [0.6251, 0.1247, 0.6251], [0.6251, 0.6251, 0.1247], [0.6251, 0.6251, 0.6251], [0.2500, 0.2500, 0.2500]]
}